Entry one
! SrHf3Au | Alexandria | PBE-GGA | optimized geometry; values from VASP
! Space group   No. 221
! Spin magnetization   0.002 μB per formula unit
! Calculated volume   26.22 Å³ per atom
&SYSTEM
  ibrav = 0, nat = 5, ntyp = 3
/
ATOMIC_SPECIES
Hf 178.49 Hf.upf
Au 196.97 Au.upf
Sr 87.62 Sr.upf
ATOMIC_POSITIONS crystal
Hf 0.000 0.500 0.000
Hf 0.000 0.000 0.500
Hf 0.500 0.000 0.000
Au 0.500 0.500 0.500
Sr 0.000 0.000 0.000
CELL_PARAMETERS angstrom
5.080 0.000 0.000
0.000 5.080 0.000
0.000 0.000 5.080

Entry two
! SrHf3Au | Alexandria | PBE-GGA | optimized geometry; values from VASP
! Space group   No. 221
! Spin magnetization   0.901 μB per formula unit
! Calculated volume   29.28 Å³ per atom
&SYSTEM
  ibrav = 0, nat = 5, ntyp = 3
/
ATOMIC_SPECIES
Hf 178.49 Hf.upf
Au 196.97 Au.upf
Sr 87.62 Sr.upf
ATOMIC_POSITIONS crystal
Hf 0.000 0.500 0.000
Hf 0.000 0.000 0.500
Hf 0.500 0.000 0.000
Au 0.000 0.000 0.000
Sr 0.500 0.500 0.500
CELL_PARAMETERS angstrom
5.270 0.000 0.000
0.000 5.270 0.000
0.000 0.000 5.270

Which structure wins on stability? entry two wins.

Entry one
! Sr3HfAu | Alexandria | PBE-GGA | optimized geometry; values from VASP
! Space group   No. 221
! Spin magnetization   2.295 μB per formula unit
! Calculated volume   42.03 Å³ per atom
&SYSTEM
  ibrav = 0, nat = 5, ntyp = 3
/
ATOMIC_SPECIES
Hf 178.49 Hf.upf
Au 196.97 Au.upf
Sr 87.62 Sr.upf
ATOMIC_POSITIONS crystal
Hf 0.500 0.500 0.500
Au 0.000 0.000 0.000
Sr 0.000 0.500 0.000
Sr 0.000 0.000 0.500
Sr 0.500 0.000 0.000
CELL_PARAMETERS angstrom
-4.250 -4.135 0.432
1.966 -2.544 -5.001
3.663 -3.433 3.186

Entry two
! Sr3HfAu | Alexandria | PBE-GGA | optimized geometry; values from VASP
! Space group   No. 221
! Spin magnetization   2.524 μB per formula unit
! Calculated volume   45.46 Å³ per atom
&SYSTEM
  ibrav = 0, nat = 5, ntyp = 3
/
ATOMIC_SPECIES
Hf 178.49 Hf.upf
Au 196.97 Au.upf
Sr 87.62 Sr.upf
ATOMIC_POSITIONS crystal
Hf 0.000 0.000 0.000
Au 0.500 0.500 0.500
Sr 0.000 0.500 0.000
Sr 0.000 0.000 0.500
Sr 0.500 0.000 0.000
CELL_PARAMETERS angstrom
-1.129 -3.806 -4.635
3.605 -4.200 2.570
-4.793 -2.263 3.025

Which structure wins on stability? entry one wins.

Entry one
! Sr2HfAu | Alexandria | PBE-GGA | optimized geometry; values from VASP
! Space group   No. 122
! Spin magnetization   0.967 μB per formula unit
! Calculated volume   41.06 Å³ per atom
&SYSTEM
  ibrav = 0, nat = 8, ntyp = 3
/
ATOMIC_SPECIES
Hf 178.49 Hf.upf
Au 196.97 Au.upf
Sr 87.62 Sr.upf
ATOMIC_POSITIONS crystal
Hf 0.500 0.500 0.000
Hf 0.250 0.750 0.500
Au 0.000 0.000 0.000
Au 0.750 0.250 0.500
Sr 0.766 0.125 0.250
Sr 0.984 0.625 0.250
Sr 0.375 0.234 0.750
Sr 0.875 0.016 0.750
CELL_PARAMETERS angstrom
11.143 0.000 0.000
0.000 11.143 0.000
5.572 5.572 2.645

Entry two
! Sr2HfAu | Alexandria | PBE-GGA | optimized geometry; values from VASP
! Space group   No. 225
! Spin magnetization   0.000 μB per formula unit
! Calculated volume   30.45 Å³ per atom
&SYSTEM
  ibrav = 0, nat = 4, ntyp = 3
/
ATOMIC_SPECIES
Hf 178.49 Hf.upf
Au 196.97 Au.upf
Sr 87.62 Sr.upf
ATOMIC_POSITIONS crystal
Hf 0.000 0.000 0.000
Au 0.500 0.500 0.500
Sr 0.250 0.250 0.250
Sr 0.750 0.750 0.750
CELL_PARAMETERS angstrom
0.000 3.934 3.934
3.934 0.000 3.934
3.934 3.934 0.000

Which structure wins on stability? entry one wins.

Entry one
! Hf2TaAu | Alexandria | PBE-GGA | optimized geometry; values from VASP
! Space group   No. 160
! Spin magnetization   0.000 μB per formula unit
! Calculated volume   20.33 Å³ per atom
&SYSTEM
  ibrav = 0, nat = 4, ntyp = 3
/
ATOMIC_SPECIES
Hf 178.49 Hf.upf
Ta 180.95 Ta.upf
Au 196.97 Au.upf
ATOMIC_POSITIONS crystal
Hf 0.082 0.082 0.754
Hf 0.251 0.251 0.247
Ta 0.500 0.500 0.501
Au 0.668 0.668 0.997
CELL_PARAMETERS angstrom
-1.613 -1.258 2.402
1.475 -0.684 2.704
-1.973 8.000 4.938

Entry two
! Hf2TaAu | Alexandria | PBE-GGA | optimized geometry; values from VASP
! Space group   No. 225
! Spin magnetization   0.000 μB per formula unit
! Calculated volume   19.39 Å³ per atom
&SYSTEM
  ibrav = 0, nat = 4, ntyp = 3
/
ATOMIC_SPECIES
Hf 178.49 Hf.upf
Au 196.97 Au.upf
Ta 180.95 Ta.upf
ATOMIC_POSITIONS crystal
Hf 0.250 0.250 0.250
Hf 0.750 0.750 0.750
Au 0.500 0.500 0.500
Ta 0.000 0.000 0.000
CELL_PARAMETERS angstrom
1.919 0.583 4.347
-1.609 -2.585 3.694
2.741 -3.441 1.888

Which structure wins on stability? entry two wins.

Entry one
! Hf2TaAu | Alexandria | PBE-GGA | optimized geometry; values from VASP
! Space group   No. 123
! Spin magnetization   0.000 μB per formula unit
! Calculated volume   19.52 Å³ per atom
&SYSTEM
  ibrav = 0, nat = 4, ntyp = 3
/
ATOMIC_SPECIES
Hf 178.49 Hf.upf
Au 196.97 Au.upf
Ta 180.95 Ta.upf
ATOMIC_POSITIONS crystal
Hf 0.000 0.000 0.500
Hf 0.000 0.500 0.000
Au 0.500 0.000 0.000
Ta 0.500 0.500 0.500
CELL_PARAMETERS angstrom
-1.880 2.640 1.306
-3.979 -2.382 -0.914
0.200 -1.978 4.288

Entry two
! Hf2TaAu | Alexandria | PBE-GGA | optimized geometry; values from VASP
! Space group   No. 122
! Spin magnetization   0.000 μB per formula unit
! Calculated volume   21.19 Å³ per atom
&SYSTEM
  ibrav = 0, nat = 8, ntyp = 3
/
ATOMIC_SPECIES
Hf 178.49 Hf.upf
Au 196.97 Au.upf
Ta 180.95 Ta.upf
ATOMIC_POSITIONS crystal
Hf 0.621 0.125 0.250
Hf 0.129 0.625 0.250
Hf 0.375 0.379 0.750
Hf 0.875 0.871 0.750
Au 0.000 0.000 0.000
Au 0.750 0.250 0.500
Ta 0.500 0.500 0.000
Ta 0.250 0.750 0.500
CELL_PARAMETERS angstrom
-0.725 -3.122 -2.620
1.175 -2.708 2.902
-9.103 -3.478 3.392

Entry three
! Hf2TaAu | Alexandria | PBE-GGA | optimized geometry; values from VASP
! Space group   No. 123
! Spin magnetization   0.000 μB per formula unit
! Calculated volume   19.78 Å³ per atom
&SYSTEM
  ibrav = 0, nat = 4, ntyp = 3
/
ATOMIC_SPECIES
Hf 178.49 Hf.upf
Au 196.97 Au.upf
Ta 180.95 Ta.upf
ATOMIC_POSITIONS crystal
Hf 0.000 0.000 0.745
Hf 0.000 0.000 0.255
Au 0.500 0.500 0.000
Ta 0.500 0.500 0.500
CELL_PARAMETERS angstrom
3.375 0.000 0.000
0.000 3.375 0.000
0.000 0.000 6.947

Which structure wins on stability? entry three wins.

Entry one
! HfTc3Au | Alexandria | PBE-GGA | optimized geometry; values from VASP
! Space group   No. 221
! Spin magnetization   4.757 μB per formula unit
! Calculated volume   22.13 Å³ per atom
&SYSTEM
  ibrav = 0, nat = 5, ntyp = 3
/
ATOMIC_SPECIES
Hf 178.49 Hf.upf
Au 196.97 Au.upf
Tc 98.00 Tc.upf
ATOMIC_POSITIONS crystal
Hf 0.500 0.500 0.500
Au 0.000 0.000 0.000
Tc 0.000 0.500 0.000
Tc 0.000 0.000 0.500
Tc 0.500 0.000 0.000
CELL_PARAMETERS angstrom
4.801 0.000 0.000
0.000 4.801 0.000
0.000 0.000 4.801

Entry two
! HfTc3Au | Alexandria | PBE-GGA | optimized geometry; values from VASP
! Space group   No. 221
! Spin magnetization   2.270 μB per formula unit
! Calculated volume   21.06 Å³ per atom
&SYSTEM
  ibrav = 0, nat = 5, ntyp = 3
/
ATOMIC_SPECIES
Hf 178.49 Hf.upf
Au 196.97 Au.upf
Tc 98.00 Tc.upf
ATOMIC_POSITIONS crystal
Hf 0.000 0.000 0.000
Au 0.500 0.500 0.500
Tc 0.000 0.500 0.000
Tc 0.000 0.000 0.500
Tc 0.500 0.000 0.000
CELL_PARAMETERS angstrom
4.722 0.000 0.000
0.000 4.722 0.000
0.000 0.000 4.722

Which structure wins on stability? entry two wins.

Entry one
! Hf3TcAu | Alexandria | PBE-GGA | optimized geometry; values from VASP
! Space group   No. 221
! Spin magnetization   0.000 μB per formula unit
! Calculated volume   24.24 Å³ per atom
&SYSTEM
  ibrav = 0, nat = 5, ntyp = 3
/
ATOMIC_SPECIES
Hf 178.49 Hf.upf
Au 196.97 Au.upf
Tc 98.00 Tc.upf
ATOMIC_POSITIONS crystal
Hf 0.000 0.500 0.000
Hf 0.000 0.000 0.500
Hf 0.500 0.000 0.000
Au 0.500 0.500 0.500
Tc 0.000 0.000 0.000
CELL_PARAMETERS angstrom
-4.355 1.753 1.565
0.346 -2.781 4.079
2.325 3.699 2.325

Entry two
! Hf3TcAu | Alexandria | PBE-GGA | optimized geometry; values from VASP
! Space group   No. 221
! Spin magnetization   0.001 μB per formula unit
! Calculated volume   25.23 Å³ per atom
&SYSTEM
  ibrav = 0, nat = 5, ntyp = 3
/
ATOMIC_SPECIES
Hf 178.49 Hf.upf
Au 196.97 Au.upf
Tc 98.00 Tc.upf
ATOMIC_POSITIONS crystal
Hf 0.000 0.500 0.000
Hf 0.000 0.000 0.500
Hf 0.500 0.000 0.000
Au 0.000 0.000 0.000
Tc 0.500 0.500 0.500
CELL_PARAMETERS angstrom
5.015 0.000 0.000
0.000 5.015 0.000
0.000 0.000 5.015

Which structure wins on stability? entry one wins.

Entry one
! HfTe3Au | Alexandria | PBE-GGA | optimized geometry; values from VASP
! Space group   No. 221
! Spin magnetization   0.000 μB per formula unit
! Calculated volume   30.18 Å³ per atom
&SYSTEM
  ibrav = 0, nat = 5, ntyp = 3
/
ATOMIC_SPECIES
Hf 178.49 Hf.upf
Te 127.60 Te.upf
Au 196.97 Au.upf
ATOMIC_POSITIONS crystal
Hf 0.500 0.500 0.500
Te 0.000 0.500 0.000
Te 0.000 0.000 0.500
Te 0.500 0.000 0.000
Au 0.000 0.000 0.000
CELL_PARAMETERS angstrom
-3.454 -3.174 2.518
3.577 -3.942 -0.061
1.901 1.652 4.690

Entry two
! HfTe3Au | Alexandria | PBE-GGA | optimized geometry; values from VASP
! Space group   No. 221
! Spin magnetization   0.000 μB per formula unit
! Calculated volume   33.57 Å³ per atom
&SYSTEM
  ibrav = 0, nat = 5, ntyp = 3
/
ATOMIC_SPECIES
Hf 178.49 Hf.upf
Te 127.60 Te.upf
Au 196.97 Au.upf
ATOMIC_POSITIONS crystal
Hf 0.000 0.000 0.000
Te 0.000 0.500 0.000
Te 0.000 0.000 0.500
Te 0.500 0.000 0.000
Au 0.500 0.500 0.500
CELL_PARAMETERS angstrom
-4.412 -0.435 3.282
2.018 -4.688 2.092
2.624 2.874 3.909

Which structure wins on stability? entry two wins.

Entry one
! HfTh2Au | Alexandria | PBE-GGA | optimized geometry; values from VASP
! Space group   No. 166
! Spin magnetization   0.000 μB per formula unit
! Calculated volume   27.08 Å³ per atom
&SYSTEM
  ibrav = 0, nat = 4, ntyp = 3
/
ATOMIC_SPECIES
Hf 178.49 Hf.upf
Au 196.97 Au.upf
Th 232.04 Th.upf
ATOMIC_POSITIONS crystal
Hf 0.000 0.000 0.000
Au 0.500 0.500 0.500
Th 0.091 0.091 0.726
Th 0.909 0.909 0.274
CELL_PARAMETERS angstrom
3.336 0.000 0.000
1.668 2.889 0.000
1.668 0.963 11.241

Entry two
! HfTh2Au | Alexandria | PBE-GGA | optimized geometry; values from VASP
! Space group   No. 123
! Spin magnetization   0.000 μB per formula unit
! Calculated volume   26.99 Å³ per atom
&SYSTEM
  ibrav = 0, nat = 4, ntyp = 3
/
ATOMIC_SPECIES
Hf 178.49 Hf.upf
Au 196.97 Au.upf
Th 232.04 Th.upf
ATOMIC_POSITIONS crystal
Hf 0.500 0.500 0.500
Au 0.500 0.500 0.000
Th 0.000 0.000 0.763
Th 0.000 0.000 0.237
CELL_PARAMETERS angstrom
-2.036 -0.722 2.702
-1.783 -2.240 -1.942
5.618 -6.613 2.467

Which structure wins on stability? entry two wins.

Entry one
! HfThAu | Alexandria | PBE-GGA | optimized geometry; values from VASP
! Space group   No. 187
! Spin magnetization   0.000 μB per formula unit
! Calculated volume   26.05 Å³ per atom
&SYSTEM
  ibrav = 0, nat = 3, ntyp = 3
/
ATOMIC_SPECIES
Hf 178.49 Hf.upf
Au 196.97 Au.upf
Th 232.04 Th.upf
ATOMIC_POSITIONS crystal
Hf 0.167 0.000 0.000
Au 0.166 0.333 0.667
Th 0.667 0.667 0.333
CELL_PARAMETERS angstrom
4.159 0.000 0.000
0.000 4.658 0.000
0.000 -2.329 4.034

Entry two
! HfThAu | Alexandria | PBE-GGA | optimized geometry; values from VASP
! Space group   No. 107
! Spin magnetization   0.000 μB per formula unit
! Calculated volume   24.46 Å³ per atom
&SYSTEM
  ibrav = 0, nat = 3, ntyp = 3
/
ATOMIC_SPECIES
Hf 178.49 Hf.upf
Au 196.97 Au.upf
Th 232.04 Th.upf
ATOMIC_POSITIONS crystal
Hf 0.311 0.311 0.623
Au 0.689 0.689 0.378
Th 0.999 0.999 0.999
CELL_PARAMETERS angstrom
3.435 0.000 0.000
0.000 3.435 0.000
-1.718 -1.718 6.218

Entry three
! HfThAu | Alexandria | PBE-GGA | optimized geometry; values from VASP
! Space group   No. 129
! Spin magnetization   0.000 μB per formula unit
! Calculated volume   25.04 Å³ per atom
&SYSTEM
  ibrav = 0, nat = 6, ntyp = 3
/
ATOMIC_SPECIES
Th 232.04 Th.upf
Au 196.97 Au.upf
Hf 178.49 Hf.upf
ATOMIC_POSITIONS crystal
Th 0.000 0.500 0.861
Th 0.500 0.000 0.139
Au 0.000 0.500 0.258
Au 0.500 0.000 0.742
Hf 0.500 0.500 0.500
Hf 0.000 0.000 0.500
CELL_PARAMETERS angstrom
-3.866 -2.131 -0.176
0.689 -1.586 4.066
-3.526 6.151 2.997

Which structure wins on stability? entry two wins.

Entry one
! HfThAu2 | Alexandria | PBE-GGA | optimized geometry; values from VASP
! Space group   No. 166
! Spin magnetization   0.000 μB per formula unit
! Calculated volume   23.70 Å³ per atom
&SYSTEM
  ibrav = 0, nat = 4, ntyp = 3
/
ATOMIC_SPECIES
Hf 178.49 Hf.upf
Au 196.97 Au.upf
Th 232.04 Th.upf
ATOMIC_POSITIONS crystal
Hf 0.500 0.500 0.500
Au 0.775 0.775 0.676
Au 0.225 0.225 0.324
Th 0.000 0.000 0.000
CELL_PARAMETERS angstrom
4.711 0.000 0.000
2.355 4.079 0.000
2.355 1.360 4.934

Entry two
! HfThAu2 | Alexandria | PBE-GGA | optimized geometry; values from VASP
! Space group   No. 225
! Spin magnetization   0.000 μB per formula unit
! Calculated volume   22.96 Å³ per atom
&SYSTEM
  ibrav = 0, nat = 4, ntyp = 3
/
ATOMIC_SPECIES
Hf 178.49 Hf.upf
Au 196.97 Au.upf
Th 232.04 Th.upf
ATOMIC_POSITIONS crystal
Hf 0.500 0.500 0.500
Au 0.250 0.250 0.250
Au 0.750 0.750 0.750
Th 0.000 0.000 0.000
CELL_PARAMETERS angstrom
5.064 0.000 0.000
2.532 4.386 0.000
2.532 1.462 4.135

Which structure wins on stability? entry one wins.

Entry one
! HfTi3Au | Alexandria | PBE-GGA | optimized geometry; values from VASP
! Space group   No. 221
! Spin magnetization   1.658 μB per formula unit
! Calculated volume   22.09 Å³ per atom
&SYSTEM
  ibrav = 0, nat = 5, ntyp = 3
/
ATOMIC_SPECIES
Hf 178.49 Hf.upf
Au 196.97 Au.upf
Ti 47.87 Ti.upf
ATOMIC_POSITIONS crystal
Hf 0.000 0.000 0.000
Au 0.500 0.500 0.500
Ti 0.000 0.500 0.000
Ti 0.000 0.000 0.500
Ti 0.500 0.000 0.000
CELL_PARAMETERS angstrom
-0.980 2.155 4.173
-4.252 1.404 -1.724
-1.995 -4.050 1.623

Entry two
! HfTi3Au | Alexandria | PBE-GGA | optimized geometry; values from VASP
! Space group   No. 221
! Spin magnetization   1.090 μB per formula unit
! Calculated volume   22.96 Å³ per atom
&SYSTEM
  ibrav = 0, nat = 5, ntyp = 3
/
ATOMIC_SPECIES
Hf 178.49 Hf.upf
Au 196.97 Au.upf
Ti 47.87 Ti.upf
ATOMIC_POSITIONS crystal
Hf 0.500 0.500 0.500
Au 0.000 0.000 0.000
Ti 0.000 0.500 0.000
Ti 0.000 0.000 0.500
Ti 0.500 0.000 0.000
CELL_PARAMETERS angstrom
4.860 0.000 0.000
0.000 4.860 0.000
0.000 0.000 4.860

Which structure wins on stability? entry two wins.